Compound: LaBAsSe2
Source: Alexandria via LeMat-Bulk
Functional: PBE
Structure: optimized geometry

Cell: 5.7466 5.7466 5.8501 Å, 90.00 90.00 90.00°
Element x y z (fractional)
1 La 0.0000 0.0000 0.0000
2 B 0.5000 0.5000 0.5000
3 As 0.0000 0.0000 0.5000
4 Se 0.0000 0.5000 0.0000
5 Se 0.5000 0.0000 0.0000

Output
relative energy among the computed polymorphs	6.34	eV/f.u.
total moment	1.4	Bohr magnetons per cell
DFT total energy	-3.70	eV/atom
crystal system	tetragonal